1.
The following is a DFT calculation (GGA-PBE) of a relaxed structure of Ru3Br.

Cell: 4.0556 4.0556 7.3361 Å, 90.00 90.00 90.00°
Space group I4/mmm (No. 139)
One atom of each set of equivalent atoms:
Ru: 0.0000 0.0000 0.0000 [2 per cell]
Ru: 0.0000 0.5000 0.2500 [4 per cell]
Br: 0.0000 0.0000 0.5000 [2 per cell]

## Properties
Energy relative to the lowest polymorph listed for this composition, meV per atom: 422.7
N(E_F), states/eV/f.u.: 4.692
Formation energy without anion corrections, eV per atom: 1.00

2.
The following is a DFT calculation (GGA-PBE) of a relaxed structure of RuBr.

Cell: 10.2655 10.2655 3.6279 Å, 90.00 90.00 90.00°
Space group P4/m (No. 83)
One atom of each set of equivalent atoms:
Ru: 0.0721 0.6123 0.0000 [4 per cell]
Ru: 0.0950 0.4246 0.5000 [4 per cell]
Br: 0.1458 0.7820 0.5000 [4 per cell]
Br: 0.2697 0.4595 0.0000 [4 per cell]

## Properties
Energy relative to the lowest polymorph listed for this composition, meV per atom: 3.8
N(E_F), states/eV/f.u.: 1.433
Formation energy without anion corrections, eV per atom: 0.21